(1)
AcCN3: optimized geometry, PBE.

It has space group P2_1/m (No. 11), with a = 4.992 Å, b = 4.704 Å, c = 6.907 Å, α = 90.00°, β = 110.55° and γ = 90.00°. The asymmetric unit holds Ac at (0.108, 0.250, 0.267), C at (0.486, 0.750, 0.232), N at (0.218, 0.750, 0.120) and N at (0.296, 0.068, 0.665).

For the total energy, the calculation gives -7.98 eV per atom. The value obtained for the uncorrected formation energy is -0.32 eV per atom.

(2)
AcCN: optimized geometry, PBE.

It has space group P3m1 (No. 156), with a = 3.7105 Å, b = 3.7105 Å, c = 3.8201 Å, α = 90.00°, β = 90.00° and γ = 120.00°. The asymmetric unit holds Ac at (0.0000, 0.0000, 0.0000), C at (0.6667, 0.3333, 0.4830) and N at (0.3333, 0.6667, 0.5170).

For the total energy, the calculation gives -6.43 eV per atom. The value obtained for the uncorrected formation energy is 0.79 eV per atom. The value obtained for the density of states at the Fermi level is 0.083 states/eV per atom.

(3)
AcCN: optimized geometry, PBE.

It has space group Pnma (No. 62), with a = 5.687 Å, b = 3.229 Å, c = 9.997 Å, α = 90.00°, β = 90.00° and γ = 90.00°. The asymmetric unit holds Ac at (0.232, 0.250, 0.120), C at (0.241, 0.250, 0.398) and N at (0.143, 0.250, 0.854).

For the total energy, the calculation gives -6.67 eV per atom. The value obtained for the uncorrected formation energy is 0.55 eV per atom. The value obtained for the density of states at the Fermi level is 0.478 states/eV per atom.

(4)
Ac3C2N8: optimized geometry, PBE.

It has space group R-3m (No. 166, hexagonal axes), with a = 5.5462 Å, b = 5.5462 Å, c = 19.5573 Å, α = 90.00°, β = 90.00° and γ = 120.00°. The asymmetric unit holds Ac at (0.0000, 0.0000, 0.0000), Ac at (0.0000, 0.0000, 0.2111), C at (0.0000, 0.0000, 0.4203), N at (0.0000, 0.0000, 0.3458) and N at (0.0411, 0.5206, 0.2312).

For the total energy, the calculation gives -7.45 eV per atom. The value obtained for the uncorrected formation energy is 0.04 eV per atom. The value obtained for the density of states at the Fermi level is 0.580 states/eV per atom.